A relaxed NiSbMo2 crystal, computed with GGA-PBE.

Properties
magnetic moment	0.0	μB/f.u.
formation energy without anion corrections	0.462	eV per atom
space group	I-42d, No. 122

Geometry as POSCAR:
```
NiSbMo2
1.0
3.733 0.000 0.000
0.000 3.733 0.000
1.867 1.867 9.797
Sb Mo Ni
2 4 2
Direct
0.000 0.000 0.000
0.750 0.250 0.500
0.612 0.125 0.250
0.138 0.625 0.250
0.375 0.388 0.750
0.875 0.862 0.750
0.500 0.500 0.000
0.250 0.750 0.500
```